! Zn2BPt (PBE, optimized geometry); values from VASP
&SYSTEM
  ibrav = 0, nat = 4, ntyp = 3
/
ATOMIC_SPECIES
Zn 65.41 Zn.upf
B 10.81 B.upf
Pt 195.08 Pt.upf
ATOMIC_POSITIONS angstrom
Zn 3.2228 -6.1882 -3.1594
Zn 0.0000 0.0000 0.0000
B 2.1486 -4.1255 -2.1063
Pt 1.0743 -2.0627 -1.0531
CELL_PARAMETERS angstrom
3.5211 -1.5683 -1.5887
0.9394 -4.0202 0.5803
-0.1633 -2.6624 -3.2041
! Symmetry: F-43m, No. 216
! VASP energy: -13.80 eV/cell